Entry 1:
Sm2GdScTl2 after structural relaxation. Source: OQMD via LeMat-Bulk, functional PBE.

abc: 5.347 5.347 6.763
angles: 90.00 90.00 120.00
Atoms (fractional coordinates):
Sm (0.000, 0.000, 0.235)
Sm (0.000, 0.000, 0.765)
Gd (0.333, 0.667, 0.500)
Sc (0.667, 0.333, 0.000)
Tl (0.333, 0.667, 0.000)
Tl (0.667, 0.333, 0.500)

**Symmetry**: P-6m2, No. 187
**E_tot**: -4.454 eV per atom

---

Entry 2:
SrGdSc after structural relaxation. Source: OQMD via LeMat-Bulk, functional PBE.

abc: 7.905 7.905 7.905
angles: 90.00 90.00 90.00
Atoms (fractional coordinates):
Sr (0.000, 0.000, 0.000)
Sr (0.000, 0.500, 0.500)
Sr (0.500, 0.000, 0.500)
Sr (0.500, 0.500, 0.000)
Gd (0.000, 0.000, 0.500)
Gd (0.000, 0.500, 0.000)
Gd (0.500, 0.000, 0.000)
Gd (0.500, 0.500, 0.500)
Sc (0.250, 0.250, 0.750)
Sc (0.250, 0.750, 0.250)
Sc (0.750, 0.250, 0.250)
Sc (0.750, 0.750, 0.750)

**Symmetry**: F-43m, No. 216
**E_tot**: -3.423 eV per atom

---

Entry 3:
TbGdSc after structural relaxation. Source: OQMD via LeMat-Bulk, functional PBE.

abc: 7.435 7.435 7.435
angles: 90.00 90.00 90.00
Atoms (fractional coordinates):
Tb (0.000, 0.000, 0.000)
Tb (0.000, 0.500, 0.500)
Tb (0.500, 0.000, 0.500)
Tb (0.500, 0.500, 0.000)
Gd (0.000, 0.000, 0.500)
Gd (0.000, 0.500, 0.000)
Gd (0.500, 0.000, 0.000)
Gd (0.500, 0.500, 0.500)
Sc (0.250, 0.250, 0.750)
Sc (0.250, 0.750, 0.250)
Sc (0.750, 0.250, 0.250)
Sc (0.750, 0.750, 0.750)

**ΔE_f**: 0.68 eV/atom
**Symmetry**: F-43m, No. 216

---

Entry 4:
GdScTe2 after structural relaxation. Source: OQMD via LeMat-Bulk, functional PBE.

abc: 4.205 4.205 7.270
angles: 90.00 90.00 120.00
Atoms (fractional coordinates):
Gd (0.000, 0.000, 0.000)
Sc (0.000, 0.000, 0.500)
Te (0.333, 0.667, 0.268)
Te (0.667, 0.333, 0.732)

**Symmetry**: P-3m1, No. 164
**E_tot**: -5.575 eV per atom

---

Entry 5:
GdThSc after structural relaxation. Source: OQMD via LeMat-Bulk, functional PBE.

abc: 5.737 5.737 9.663
angles: 90.00 90.00 120.00
Atoms (fractional coordinates):
Gd (0.000, 0.000, 0.000)
Gd (0.333, 0.667, 0.667)
Gd (0.667, 0.333, 0.333)
Th (0.000, 0.000, 0.651)
Th (0.333, 0.667, 0.317)
Th (0.667, 0.333, 0.984)
Sc (0.000, 0.000, 0.319)
Sc (0.333, 0.667, 0.986)
Sc (0.667, 0.333, 0.653)

**ΔE_f**: 0.46 eV/atom
**Relative energy among the computed polymorphs**: 0 meV per atom
**Symmetry**: R3m, No. 160

---

Entry 6:
GdThSc after structural relaxation. Source: OQMD via LeMat-Bulk, functional PBE.

abc: 7.451 7.451 7.451
angles: 90.00 90.00 90.00
Atoms (fractional coordinates):
Gd (0.000, 0.000, 0.000)
Gd (0.000, 0.500, 0.500)
Gd (0.500, 0.000, 0.500)
Gd (0.500, 0.500, 0.000)
Th (0.000, 0.000, 0.500)
Th (0.000, 0.500, 0.000)
Th (0.500, 0.000, 0.000)
Th (0.500, 0.500, 0.500)
Sc (0.250, 0.250, 0.250)
Sc (0.250, 0.750, 0.750)
Sc (0.750, 0.250, 0.750)
Sc (0.750, 0.750, 0.250)

**ΔE_f**: 0.72 eV/atom
**Relative energy among the computed polymorphs**: 259 meV per atom
**Symmetry**: F-43m, No. 216

---

Entry 7:
GdScTl after structural relaxation. Source: OQMD via LeMat-Bulk, functional PBE.

abc: 5.208 5.208 6.566
angles: 90.00 90.00 120.00
Atoms (fractional coordinates):
Gd (0.000, 0.000, 0.000)
Gd (0.000, 0.000, 0.500)
Sc (0.333, 0.667, 0.250)
Sc (0.667, 0.333, 0.750)
Tl (0.333, 0.667, 0.750)
Tl (0.667, 0.333, 0.250)

**Relative energy among the computed polymorphs**: 0 meV per atom
**Symmetry**: P6_3/mmc, No. 194

---

Entry 8:
GdScTl after structural relaxation. Source: OQMD via LeMat-Bulk, functional PBE.

abc: 5.279 5.279 6.488
angles: 90.00 90.00 120.00
Atoms (fractional coordinates):
Gd (0.333, 0.667, 0.250)
Gd (0.667, 0.333, 0.750)
Sc (0.000, 0.000, 0.000)
Sc (0.000, 0.000, 0.500)
Tl (0.333, 0.667, 0.750)
Tl (0.667, 0.333, 0.250)

**Relative energy among the computed polymorphs**: 22 meV per atom
**Symmetry**: P6_3/mmc, No. 194

---

Entry 9:
GdScTl after structural relaxation. Source: OQMD via LeMat-Bulk, functional PBE.

abc: 7.157 7.157 7.157
angles: 90.00 90.00 90.00
Atoms (fractional coordinates):
Gd (0.000, 0.000, 0.000)
Gd (0.000, 0.500, 0.500)
Gd (0.500, 0.000, 0.500)
Gd (0.500, 0.500, 0.000)
Sc (0.250, 0.250, 0.750)
Sc (0.250, 0.750, 0.250)
Sc (0.750, 0.250, 0.250)
Sc (0.750, 0.750, 0.750)
Tl (0.250, 0.250, 0.250)
Tl (0.250, 0.750, 0.750)
Tl (0.750, 0.250, 0.750)
Tl (0.750, 0.750, 0.250)

**Relative energy among the computed polymorphs**: 740 meV per atom
**Symmetry**: F-43m, No. 216

---

Entry 10:
GdScTl after structural relaxation. Source: OQMD via LeMat-Bulk, functional PBE.

abc: 7.121 7.121 7.121
angles: 90.00 90.00 90.00
Atoms (fractional coordinates):
Gd (0.000, 0.000, 0.000)
Gd (0.000, 0.500, 0.500)
Gd (0.500, 0.000, 0.500)
Gd (0.500, 0.500, 0.000)
Sc (0.000, 0.000, 0.500)
Sc (0.000, 0.500, 0.000)
Sc (0.500, 0.000, 0.000)
Sc (0.500, 0.500, 0.500)
Tl (0.250, 0.250, 0.250)
Tl (0.250, 0.750, 0.750)
Tl (0.750, 0.250, 0.750)
Tl (0.750, 0.750, 0.250)

**Relative energy among the computed polymorphs**: 259 meV per atom
**Symmetry**: F-43m, No. 216